Density functional theory data (PBE) for a relaxed LiTmThZn crystal.

Summary:
The total DFT energy (no corrections) comes out at -3.789 eV/atom. As for the formation energy: -0.019 eV per atom.

extended XYZ file:
```
4
Lattice="0.000 3.626 3.626 3.626 0.000 3.626 3.626 3.626 0.000" Properties=species:S:1:pos:R:3 pbc="T T T"
Li 0.000 0.000 0.000
Tm 5.440 5.440 5.440
Th 1.813 1.813 1.813
Zn 3.626 3.626 3.626
```

***

Density functional theory data (PBE) for a relaxed TaMn2Mo crystal.

Summary:
The total DFT energy (no corrections) comes out at -10.164 eV/atom. As for the formation energy: 0.091 eV per atom. As for the energy above the most stable polymorph in this dataset: 125 meV/atom.

extended XYZ file:
```
4
Lattice="2.719 0.000 0.000 0.000 4.300 0.000 -0.874 0.000 4.852" Properties=species:S:1:pos:R:3 pbc="T T T"
Ta 0.000 0.000 0.000
Mn 0.930 0.000 2.394
Mn 1.814 2.150 1.076
Mo 0.064 2.150 3.433
```

***

Density functional theory data (PBE) for a relaxed Mg2Ti crystal.

Summary:
The total DFT energy (no corrections) comes out at -3.390 eV/atom. As for the formation energy: 0.305 eV per atom.

extended XYZ file:
```
12
Lattice="5.679 0.000 0.000 -2.839 4.918 0.000 0.000 0.000 8.871" Properties=species:S:1:pos:R:3 pbc="T T T"
Mg 0.000 0.000 0.000
Mg 0.000 0.000 4.435
Mg 0.000 1.705 2.218
Mg -1.363 4.066 2.218
Mg 1.476 0.852 6.653
Mg 1.363 4.066 2.218
Mg 4.203 0.852 6.653
Mg 2.839 3.213 6.653
Ti 0.000 3.279 5.097
Ti 0.000 3.279 8.209
Ti 2.839 1.639 0.661
Ti 2.839 1.639 3.774
```

***

Density functional theory data (PBE) for a relaxed LiHBrCl crystal.

Summary:
The total DFT energy (no corrections) comes out at -3.174 eV/atom. As for the energy above the most stable polymorph in this dataset: 38 meV/atom.

extended XYZ file:
```
4
Lattice="4.077 0.000 0.000 -2.033 3.538 0.000 -0.807 -1.841 6.665" Properties=species:S:1:pos:R:3 pbc="T T T"
Li 0.000 0.000 0.000
H 1.840 -1.011 4.632
Br 0.756 1.967 3.672
Cl 2.028 1.188 0.144
```

***

Density functional theory data (PBE) for a relaxed Tb6Er3ThSc2 crystal.

Summary:
The total DFT energy (no corrections) comes out at -5.087 eV/atom. As for the formation energy: 0.042 eV per atom.

extended XYZ file:
```
12
Lattice="3.026 -5.239 0.000 3.026 5.239 0.000 -2.018 0.000 11.476" Properties=species:S:1:pos:R:3 pbc="T T T"
Tb 1.012 1.745 2.831
Tb -0.007 0.000 8.647
Tb 1.012 -1.745 2.831
Tb 3.022 1.745 8.645
Tb 4.040 0.000 2.829
Tb 3.022 -1.745 8.645
Er 2.017 3.485 5.738
Er 2.017 0.000 5.738
Er 2.017 -3.485 5.738
Th 0.000 0.000 0.000
Sc 3.026 1.748 0.000
Sc 3.026 -1.748 0.000
```

***

Density functional theory data (PBE) for a relaxed NiPdSe3 crystal.

Summary:
The uncorrected formation energy is -0.17 eV per atom. The total DFT energy (no corrections) comes out at -4.458 eV/atom. As for the energy above the most stable polymorph in this dataset: 35 meV/atom.

extended XYZ file:
```
20
Lattice="6.210 0.000 0.000 0.000 10.898 0.000 0.000 0.000 6.112" Properties=species:S:1:pos:R:3 pbc="T T T"
Ni 0.935 2.724 0.344
Ni 2.170 8.173 3.399
Ni 4.040 2.724 2.712
Ni 5.275 8.173 5.768
Pd 0.000 0.000 3.056
Pd 0.000 5.449 3.056
Pd 3.105 0.000 0.000
Pd 3.105 5.449 0.000
Se 0.166 2.724 2.480
Se 0.772 0.708 5.385
Se 0.772 4.741 5.385
Se 2.333 6.157 2.329
Se 2.333 10.189 2.329
Se 2.939 8.173 5.536
Se 3.271 2.724 0.576
Se 3.877 0.708 3.783
Se 3.877 4.741 3.783
Se 5.438 6.157 0.727
Se 5.438 10.189 0.727
Se 6.044 8.173 3.631
```